# CdAsRh2

An optimized crystal structure of CdAsRh2 (GGA-PBE, the Alexandria database).

Output
Crystal system: monoclinic
VASP energy: -0.191 Ha/atom
Energy of formation from the pure elements: -118 meV/atom
Polymorph energy (0 for the lowest one): 146 meV/atom

a b c (Å): 4.6007 3.0135 5.0912
angles (deg): 73.07 90.00 90.00
Fractional coordinates of all 4 atoms:
As  0.0000  0.3511  0.4288
Rh  0.0000  0.0548  0.0141
Rh  0.5000  0.4124  0.2933
Cd  0.5000  0.6817  0.7638

---

# Nd3YEr3

An optimized crystal structure of Nd3YEr3 (GGA-PBE, the Alexandria database).

Output
Crystal system: hexagonal
VASP energy: -0.180 Ha/atom
Energy of formation from the pure elements: 19 meV/atom
Polymorph energy (0 for the lowest one): 0 meV/atom

a b c (Å): 5.7607 9.6387 9.6380
angles (deg): 119.98 90.00 90.00
Fractional coordinates of all 14 atoms:
Nd  0.7500  0.7573  0.8044
Nd  0.7500  0.0467  0.2424
Nd  0.7500  0.1954  0.9528
Nd  0.2500  0.2427  0.1956
Nd  0.2500  0.9533  0.7576
Nd  0.2500  0.8046  0.0472
Y  0.7500  0.3332  0.6666
Y  0.2500  0.6668  0.3334
Er  0.2500  0.5219  0.6165
Er  0.2500  0.0948  0.4784
Er  0.2500  0.3839  0.9055
Er  0.7500  0.4781  0.3835
Er  0.7500  0.9052  0.5216
Er  0.7500  0.6161  0.0945